The following is a PBE-GGA calculation of a geometry-optimized Tb8DySc2 structure, from Alexandria.

Cell lengths 9.1690, 9.1690, 9.1690 Å; angles 145.84, 126.81, 64.75 degrees
Element x y z (fractional)
Tb1 0.1535 0.3577 0.7958
Tb2 0.1624 0.1624 0.0000
Tb3 0.3000 0.0000 0.3000
Tb4 0.4381 0.6423 0.7958
Tb5 0.5619 0.3577 0.2042
Tb6 0.7000 0.0000 0.7000
Tb7 0.8376 0.8376 0.0000
Tb8 0.8465 0.6423 0.2042
Dy1 0.0000 0.5000 0.5000
Sc1 0.2990 0.7990 0.5000
Sc2 0.7010 0.2010 0.5000

Computed properties:
* SG: Immm (71)
* size of the total moment: 0.00 μB per formula unit
* energy of formation: 123.0 meV/atom
* ΔE to the lowest computed polymorph: 0.0 meV per atom

***

The following is a PBE-GGA calculation of a geometry-optimized Tb6Dy2Sc structure, from Alexandria.

Cell lengths 6.0971, 6.0971, 10.5749 Å; angles 106.81, 106.81, 48.24 degrees
Element x y z (fractional)
Tb1 0.1630 0.1630 0.2188
Tb2 0.1663 0.1663 0.5552
Tb3 0.1684 0.1684 0.8914
Tb4 0.8316 0.8316 0.1086
Tb5 0.8337 0.8337 0.4448
Tb6 0.8370 0.8370 0.7812
Dy1 0.4979 0.4979 0.3293
Dy2 0.5021 0.5021 0.6707
Sc1 0.5000 0.5000 0.0000

Computed properties:
* SG: C2/m (12)
* size of the total moment: 0.00 μB per formula unit
* energy of formation: 28.1 meV/atom
* ΔE to the lowest computed polymorph: 0.0 meV per atom

***

The following is a PBE-GGA calculation of a geometry-optimized Tb8Dy3Sc structure, from Alexandria.

Cell lengths 9.3545, 9.3545, 9.3545 Å; angles 131.80, 131.80, 70.54 degrees
Element x y z (fractional)
Tb1 0.1234 0.1234 0.4920
Tb2 0.1234 0.6313 0.0000
Tb3 0.3687 0.3687 0.4920
Tb4 0.3687 0.8766 0.0000
Tb5 0.6313 0.1234 0.0000
Tb6 0.6313 0.6313 0.5080
Tb7 0.8766 0.3687 0.0000
Tb8 0.8766 0.8766 0.5080
Dy1 0.2500 0.7500 0.5000
Dy2 0.5000 0.5000 0.0000
Dy3 0.7500 0.2500 0.5000
Sc1 0.0000 0.0000 0.0000

Computed properties:
* SG: I4/mmm (139)
* size of the total moment: 0.00 μB per formula unit
* energy of formation: 719.1 meV/atom

***

The following is a PBE-GGA calculation of a geometry-optimized Tb2Dy2Sc3 structure, from Alexandria.

Cell lengths 7.6510, 7.6510, 8.3554 Å; angles 111.13, 111.13, 25.95 degrees
Element x y z (fractional)
Tb1 0.1429 0.1429 0.4219
Tb2 0.8571 0.8571 0.5781
Dy1 0.4249 0.4249 0.2768
Dy2 0.5751 0.5751 0.7232
Sc1 0.0000 0.0000 0.0000
Sc2 0.2877 0.2877 0.8646
Sc3 0.7123 0.7123 0.1354

Computed properties:
* SG: C2/m (12)
* size of the total moment: 0.00 μB per formula unit
* energy of formation: 53.9 meV/atom
* ΔE to the lowest computed polymorph: 0.0 meV per atom

***

The following is a PBE-GGA calculation of a geometry-optimized Tb6Dy12Sc structure, from Alexandria.

Cell lengths 9.8328, 9.8328, 9.8328 Å; angles 112.53, 112.53, 112.53 degrees
Element x y z (fractional)
Tb1 0.1349 0.8175 0.8175
Tb2 0.1825 0.1825 0.8651
Tb3 0.1825 0.8651 0.1825
Tb4 0.8175 0.1349 0.8175
Tb5 0.8175 0.8175 0.1349
Tb6 0.8651 0.1825 0.1825
Dy1 0.0000 0.3824 0.6176
Dy2 0.0000 0.6176 0.3824
Dy3 0.2623 0.2624 0.5771
Dy4 0.2623 0.5771 0.2623
Dy5 0.3824 0.0000 0.6176
Dy6 0.3824 0.6176 0.0000
Dy7 0.4229 0.7377 0.7376
Dy8 0.5771 0.2623 0.2623
Dy9 0.6176 0.0000 0.3824
Dy10 0.6176 0.3824 0.0000
Dy11 0.7377 0.4229 0.7377
Dy12 0.7377 0.7377 0.4229
Sc1 0.5000 0.5000 0.5000

Computed properties:
* SG: R-3m (166)
* size of the total moment: 0.00 μB per formula unit
* energy of formation: 370.0 meV/atom
* ΔE to the lowest computed polymorph: 216.0 meV per atom

***

The following is a PBE-GGA calculation of a geometry-optimized Tb3Dy2Sc2 structure, from Alexandria.

Cell lengths 11.9412, 11.9412, 3.4374 Å; angles 90.00, 90.00, 154.86 degrees
Element x y z (fractional)
Tb1 0.0000 0.0000 0.0000
Tb2 0.1565 0.8435 0.0000
Tb3 0.8435 0.1565 0.0000
Dy1 0.4251 0.5749 0.5000
Dy2 0.5749 0.4251 0.5000
Sc1 0.2839 0.7161 0.5000
Sc2 0.7161 0.2839 0.5000

Computed properties:
* SG: Cmmm (65)
* size of the total moment: 0.00 μB per formula unit
* energy of formation: 36.7 meV/atom
* ΔE to the lowest computed polymorph: 0.0 meV per atom

***

The following is a PBE-GGA calculation of a geometry-optimized Tb12Dy2Sc5 structure, from Alexandria.

Cell lengths 8.9988, 8.9988, 10.8655 Å; angles 105.79, 105.79, 45.19 degrees
Element x y z (fractional)
Tb1 0.0451 0.5505 0.8930
Tb2 0.0701 0.5525 0.4054
Tb3 0.0995 0.0995 0.3076
Tb4 0.3946 0.3946 0.1841
Tb5 0.4475 0.9299 0.5946
Tb6 0.4495 0.9549 0.1070
Tb7 0.5505 0.0451 0.8930
Tb8 0.5525 0.0701 0.4054
Tb9 0.6054 0.6054 0.8159
Tb10 0.9005 0.9005 0.6924
Tb11 0.9299 0.4475 0.5946
Tb12 0.9549 0.4495 0.1070
Dy1 0.2419 0.7581 0.0000
Dy2 0.7581 0.2419 0.0000
Sc1 0.1161 0.1161 0.8239
Sc2 0.3819 0.3819 0.6999
Sc3 0.5000 0.5000 0.5000
Sc4 0.6181 0.6181 0.3001
Sc5 0.8839 0.8839 0.1761

Computed properties:
* SG: C2/m (12)
* size of the total moment: 0.00 μB per formula unit
* energy of formation: 182.8 meV/atom

***

The following is a PBE-GGA calculation of a geometry-optimized Tb2DySc structure, from Alexandria.

Cell lengths 11.4112, 11.4112, 11.4112 Å; angles 17.70, 17.70, 17.70 degrees
Element x y z (fractional)
Tb1 0.0000 0.0000 0.0000
Tb2 0.1599 0.1599 0.1599
Dy1 0.5799 0.5799 0.5799
Sc1 0.4137 0.4137 0.4137

Computed properties:
* SG: R3m (160)
* size of the total moment: 0.00 μB per formula unit
* energy of formation: 33.2 meV/atom
* ΔE to the lowest computed polymorph: 0.0 meV per atom